{
  "formula": "HoBPb3",
  "functional": "PBE",
  "state": "optimized geometry",
  "e_tot_ev_per_atom": -3.909,
  "lattice_angstrom": [[6.779, 0.000, 0.000], [-3.390, 5.871, 0.000], [0.000, 0.000, 7.158]],
  "species": ["Ho", "Ho", "Pb", "Pb", "Pb", "Pb", "Pb", "Pb", "B", "B"],
  "fractional_positions": [[0.000, 0.000, 0.247], [0.000, 0.000, 0.753], [0.000, 0.498, 0.741], [0.498, 0.000, 0.741], [0.502, 0.502, 0.741], [0.498, 0.498, 0.259], [0.502, 0.000, 0.259], [0.000, 0.502, 0.259], [0.333, 0.667, 0.500], [0.667, 0.333, 0.500]]
}

---

{
  "formula": "HoBPb",
  "functional": "PBE",
  "state": "optimized geometry",
  "de_polymorph_mev_per_atom": 534,
  "lattice_angstrom": [[0.000, 3.345, 3.345], [3.345, 0.000, 3.345], [3.345, 3.345, 0.000]],
  "species": ["Pb", "B", "Ho"],
  "fractional_positions": [[0.500, 0.500, 0.500], [0.000, 0.000, 0.000], [0.750, 0.750, 0.750]]
}

---

no.,total magnetization (μB/cell)
1,0.04
2,0.00